{
  "formula": "FeRhPb2",
  "functional": "SCAN",
  "state": "PBEsol geometry",
  "volume_a3_per_cell": 72.1,
  "final_energy_ry_per_atom": -3.70954,
  "dos_at_fermi_per_ev_atom": 0.662,
  "spacegroup": "No. 71",
  "e_form_kj_per_mol_atoms": 38.1,
  "cell": [[-2.333, 2.341, 3.301], [2.333, -2.341, 3.301], [2.333, 2.341, -3.301]],
  "species": ["Fe", "Rh", "Pb", "Pb"],
  "fractional_positions": [[0.000, 0.000, 0.000], [0.500, 0.500, 0.000], [0.250, 0.750, 0.500], [0.750, 0.250, 0.500]]
}